The following is a PBE+U calculation of crystalline HgMoPb2O at its relaxed geometry, from the Alexandria database.

Lattice parameters (Å, degrees): 5.817 5.817 3.840 90.00 90.00 90.00
Element x y z (fractional)
Hg 0.000 0.000 0.000
Mo 0.500 0.500 0.500
Pb 0.000 0.500 0.500
Pb 0.500 0.000 0.500
O 0.500 0.500 0.000

Results
SG: P4/mmm (123)
Calculated total energy, Ry per atom: -0.29275
Total magnetization, μB per atom: 0.39